# 1
VASP calculation (PBE) on a relaxed LuPaHgIr crystal.

The structure in extended XYZ format:
```
4
Lattice="0.000 3.554 3.554 3.554 0.000 3.554 3.554 3.554 0.000" Properties=species:S:1:pos:R:3 pbc="T T T"
Lu 0.000 0.000 0.000
Pa 3.554 3.554 3.554
Hg 5.331 5.331 5.331
Ir 1.777 1.777 1.777
```

Summary:
DOS at the Fermi energy in states/eV/atom: 1.6330
ΔH_f (0 K) in meV/atom: -348.9
Calculated total energy in eV per atom: -6.144

=====

# 2
VASP calculation (PBE) on a relaxed LuHgIrPd crystal.

The structure in extended XYZ format:
```
4
Lattice="0.000 3.328 3.328 3.328 0.000 3.328 3.328 3.328 0.000" Properties=species:S:1:pos:R:3 pbc="T T T"
Lu 0.000 0.000 0.000
Hg 3.328 3.328 3.328
Ir 1.664 1.664 1.664
Pd 4.991 4.991 4.991
```

Summary:
DOS at the Fermi energy in states/eV/atom: 0.3151
ΔH_f (0 K) in meV/atom: -495.0
Calculated total energy in eV per atom: -5.214

=====

# 3
VASP calculation (PBE) on a relaxed SmLuHgIr crystal.

The structure in extended XYZ format:
```
4
Lattice="0.000 3.566 3.566 3.566 0.000 3.566 3.566 3.566 0.000" Properties=species:S:1:pos:R:3 pbc="T T T"
Sm 0.000 0.000 0.000
Lu 3.566 3.566 3.566
Hg 5.348 5.348 5.348
Ir 1.783 1.783 1.783
```

Summary:
DOS at the Fermi energy in states/eV/atom: 0.5669
ΔH_f (0 K) in meV/atom: -593.0
Calculated total energy in eV per atom: -5.194

=====

# 4
VASP calculation (PBE) on a relaxed TbLuHgIr crystal.

The structure in extended XYZ format:
```
4
Lattice="0.000 3.533 3.533 3.533 0.000 3.533 3.533 3.533 0.000" Properties=species:S:1:pos:R:3 pbc="T T T"
Tb 0.000 0.000 0.000
Lu 3.533 3.533 3.533
Hg 5.299 5.299 5.299
Ir 1.766 1.766 1.766
```

Summary:
DOS at the Fermi energy in states/eV/atom: 0.4777
ΔH_f (0 K) in meV/atom: -574.0
Calculated total energy in eV per atom: -5.152

=====

# 5
VASP calculation (PBE) on a relaxed LuThHgIr crystal.

The structure in extended XYZ format:
```
4
Lattice="0.000 3.615 3.615 3.615 0.000 3.615 3.615 3.615 0.000" Properties=species:S:1:pos:R:3 pbc="T T T"
Lu 0.000 0.000 0.000
Th 3.615 3.615 3.615
Hg 5.422 5.422 5.422
Ir 1.807 1.807 1.807
```

Summary:
DOS at the Fermi energy in states/eV/atom: 1.0435
ΔH_f (0 K) in meV/atom: -507.9
Calculated total energy in eV per atom: -5.784

=====

# 6
VASP calculation (PBE) on a relaxed TmLuHgIr crystal.

The structure in extended XYZ format:
```
4
Lattice="0.000 3.501 3.501 3.501 0.000 3.501 3.501 3.501 0.000" Properties=species:S:1:pos:R:3 pbc="T T T"
Tm 0.000 0.000 0.000
Lu 3.501 3.501 3.501
Hg 5.251 5.251 5.251
Ir 1.750 1.750 1.750
```

Summary:
DOS at the Fermi energy in states/eV/atom: 0.5188
ΔH_f (0 K) in meV/atom: -663.4
Calculated total energy in eV per atom: -5.202

=====

# 7
VASP calculation (PBE) on a relaxed LuZrHgIr crystal.

The structure in extended XYZ format:
```
4
Lattice="0.000 3.451 3.451 3.451 0.000 3.451 3.451 3.451 0.000" Properties=species:S:1:pos:R:3 pbc="T T T"
Lu 0.000 0.000 0.000
Zr 3.451 3.451 3.451
Hg 1.726 1.726 1.726
Ir 5.177 5.177 5.177
```

Summary:
DOS at the Fermi energy in states/eV/atom: 0.9388
ΔH_f (0 K) in meV/atom: -496.5
Calculated total energy in eV per atom: -6.055

=====

# 8
VASP calculation (PBE) on a relaxed MgHg2Ir crystal.

The structure in extended XYZ format:
```
4
Lattice="3.560 0.000 0.000 0.000 3.560 0.000 0.000 0.000 5.903" Properties=species:S:1:pos:R:3 pbc="T T T"
Mg 0.000 0.000 0.000
Hg 1.780 1.780 1.494
Hg 1.780 1.780 4.409
Ir 0.000 0.000 2.951
```

Summary:
DOS at the Fermi energy in states/eV/atom: 0.4518
ΔH_f (0 K) in meV/atom: 172.1
ΔE to the lowest computed polymorph in eV per atom: 0.135
Calculated total energy in eV per atom: -2.593

=====

# 9
VASP calculation (PBE) on a relaxed MgHg2Ir crystal.

The structure in extended XYZ format:
```
4
Lattice="0.000 3.343 3.343 3.343 0.000 3.343 3.343 3.343 0.000" Properties=species:S:1:pos:R:3 pbc="T T T"
Mg 0.000 0.000 0.000
Hg 1.672 1.672 1.672
Hg 3.343 3.343 3.343
Ir 5.015 5.015 5.015
```

Summary:
DOS at the Fermi energy in states/eV/atom: 0.5495
ΔH_f (0 K) in meV/atom: 184.6
ΔE to the lowest computed polymorph in eV per atom: 0.147
Calculated total energy in eV per atom: -2.580

=====

# 10
VASP calculation (PBE) on a relaxed Mg6HgIr crystal.

The structure in extended XYZ format:
```
8
Lattice="3.207 -4.989 0.000 3.207 4.989 0.000 -2.059 0.000 5.998" Properties=species:S:1:pos:R:3 pbc="T T T"
Mg 0.937 1.940 1.408
Mg -0.055 0.000 4.506
Mg 0.937 -1.940 1.408
Mg 3.417 1.940 4.590
Mg 4.410 0.000 1.492
Mg 3.417 -1.940 4.590
Hg 2.177 0.000 2.999
Ir 0.000 0.000 0.000
```

Summary:
DOS at the Fermi energy in states/eV/atom: 0.3858
ΔH_f (0 K) in meV/atom: 34.3
ΔE to the lowest computed polymorph in eV per atom: 0.221
Calculated total energy in eV per atom: -2.307

=====

# 11
VASP calculation (PBE) on a relaxed MgHgIr2 crystal.

The structure in extended XYZ format:
```
4
Lattice="2.867 0.000 0.000 0.000 4.659 0.000 -0.050 0.000 5.049" Properties=species:S:1:pos:R:3 pbc="T T T"
Mg 0.000 0.000 0.000
Hg 1.408 0.000 2.524
Ir 0.748 2.330 3.923
Ir 2.069 2.330 1.126
```

Summary:
DOS at the Fermi energy in states/eV/atom: 0.9209
ΔH_f (0 K) in meV/atom: 150.2
Calculated total energy in eV per atom: -4.754

=====

# 12
VASP calculation (PBE) on a relaxed Mg6HgIr crystal.

The structure in extended XYZ format:
```
8
Lattice="2.359 1.362 7.859 -2.359 1.362 7.859 0.000 -2.724 7.859" Properties=species:S:1:pos:R:3 pbc="T T T"
Mg 0.000 0.000 2.812
Mg 0.000 0.000 6.011
Mg 0.000 0.000 8.737
Mg 0.000 0.000 14.840
Mg 0.000 0.000 17.567
Mg 0.000 0.000 20.765
Hg 0.000 0.000 11.789
Ir 0.000 0.000 0.000
```

Summary:
DOS at the Fermi energy in states/eV/atom: 0.4519
ΔH_f (0 K) in meV/atom: -187.0
ΔE to the lowest computed polymorph in eV per atom: 0.000
Calculated total energy in eV per atom: -2.528

=====

# 13
VASP calculation (PBE) on a relaxed MgHg2Ir crystal.

The structure in extended XYZ format:
```
4
Lattice="4.209 0.000 0.000 0.000 4.209 0.000 0.000 0.000 4.129" Properties=species:S:1:pos:R:3 pbc="T T T"
Mg 0.000 0.000 0.000
Hg 0.000 2.105 2.064
Hg 2.105 0.000 2.064
Ir 2.105 2.105 0.000
```

Summary:
DOS at the Fermi energy in states/eV/atom: 0.6444
ΔH_f (0 K) in meV/atom: 74.7
ΔE to the lowest computed polymorph in eV per atom: 0.038
Calculated total energy in eV per atom: -2.690

=====

# 14
VASP calculation (PBE) on a relaxed MgHg2Ir crystal.

The structure in extended XYZ format:
```
4
Lattice="3.101 0.000 0.000 0.000 4.829 0.000 -0.319 0.000 5.137" Properties=species:S:1:pos:R:3 pbc="T T T"
Mg 0.000 0.000 0.000
Hg 0.608 2.415 3.823
Hg 2.175 2.415 1.314
Ir 1.391 0.000 2.569
```

Summary:
DOS at the Fermi energy in states/eV/atom: 0.3859
ΔH_f (0 K) in meV/atom: 182.3
ΔE to the lowest computed polymorph in eV per atom: 0.145
Calculated total energy in eV per atom: -2.583

=====

# 15
VASP calculation (PBE) on a relaxed Mg4Hg2Ir crystal.

The structure in extended XYZ format:
```
7
Lattice="-2.304 2.304 6.801 2.304 -2.304 6.801 2.304 2.304 -6.801" Properties=species:S:1:pos:R:3 pbc="T T T"
Mg 2.304 0.000 1.433
Mg 2.304 0.000 5.368
Mg 0.000 2.304 1.433
Mg 0.000 2.304 5.368
Hg 0.000 0.000 3.333
Hg 0.000 0.000 10.270
Ir 0.000 0.000 0.000
```

Summary:
DOS at the Fermi energy in states/eV/atom: 0.3929
ΔH_f (0 K) in meV/atom: -243.2
Calculated total energy in eV per atom: -2.506

=====

# 16
VASP calculation (PBE) on a relaxed Mg12Hg3Ir5 crystal.

The structure in extended XYZ format:
```
80
Lattice="-7.927 7.927 7.927 7.927 -7.927 7.927 7.927 7.927 -7.927" Properties=species:S:1:pos:R:3 pbc="T T T"
Mg 2.218 -0.546 1.082
Mg 9.672 5.046 -4.509
Mg 7.381 -1.082 2.218
Mg 12.436 -1.745 2.881
Mg 10.145 0.546 1.082
Mg 9.672 -2.881 4.509
Mg 1.082 2.218 -0.546
Mg 10.808 3.418 -1.745
Mg 5.046 4.509 -1.745
Mg 6.845 2.218 0.546
Mg -0.546 1.082 2.218
Mg 4.509 -1.745 5.046
Mg 7.381 6.845 -2.218
Mg 4.509 1.745 2.881
Mg 6.845 -2.218 7.381
Mg 5.046 -4.509 9.672
Mg 2.881 4.509 1.745
Mg 9.009 5.709 0.546
Mg 2.218 7.381 -1.082
Mg 9.672 2.881 3.418
Mg 4.509 9.672 -2.881
Mg 7.381 1.082 5.709
Mg 1.745 2.881 4.509
Mg 2.218 0.546 6.845
Mg 5.709 7.381 1.082
Mg 6.181 5.046 3.418
Mg 0.546 6.845 2.218
Mg 3.418 -1.745 10.808
Mg -1.745 5.046 4.509
Mg 5.709 0.546 9.009
Mg -1.082 2.218 7.381
Mg 5.046 3.418 6.181
Mg 2.881 12.436 -1.745
Mg 1.082 10.145 0.546
Mg 3.418 6.181 5.046
Mg 0.546 1.082 10.145
Mg 3.418 9.672 2.881
Mg 8.472 6.845 5.709
Mg 1.082 5.709 7.381
Mg 2.881 3.418 9.672
Mg -2.881 4.509 9.672
Mg 6.845 5.709 8.472
Mg -1.745 10.808 3.418
Mg -2.218 7.381 6.845
Mg -4.509 9.672 5.046
Mg 0.546 9.009 5.709
Mg -1.745 2.881 12.436
Mg 5.709 8.472 6.845
Hg 3.963 1.982 0.000
Hg 7.927 3.963 -1.982
Hg 1.982 0.000 3.963
Hg 9.909 0.000 3.963
Hg 0.000 3.963 1.982
Hg 3.963 -1.982 7.927
Hg 3.963 9.909 0.000
Hg 7.927 3.963 5.945
Hg -1.982 7.927 3.963
Hg 5.945 7.927 3.963
Hg 0.000 3.963 9.909
Hg 3.963 5.945 7.927
Ir 0.000 0.000 0.000
Ir 3.963 3.963 -3.963
Ir 3.963 -3.963 3.963
Ir 7.927 0.000 0.000
Ir 11.890 1.982 0.000
Ir 7.927 -3.963 5.945
Ir 5.945 7.927 -3.963
Ir 5.945 0.000 3.963
Ir 3.963 5.945 0.000
Ir 7.927 3.963 1.982
Ir -3.963 3.963 3.963
Ir 0.000 7.927 0.000
Ir 0.000 0.000 7.927
Ir 3.963 3.963 3.963
Ir 0.000 3.963 5.945
Ir 3.963 1.982 7.927
Ir 1.982 7.927 3.963
Ir 1.982 0.000 11.890
Ir 0.000 11.890 1.982
Ir -3.963 5.945 7.927
```

Summary:
DOS at the Fermi energy in states/eV/atom: 0.5112
ΔH_f (0 K) in meV/atom: 321.3
Calculated total energy in eV per atom: -2.896

=====

# 17
VASP calculation (PBE) on a relaxed Mg2HgIr2 crystal.

The structure in extended XYZ format:
```
10
Lattice="7.719 0.000 0.000 0.000 7.719 0.000 0.000 0.000 2.882" Properties=species:S:1:pos:R:3 pbc="T T T"
Mg 0.996 2.863 0.000
Mg 2.863 6.723 0.000
Mg 4.856 0.996 0.000
Mg 6.723 4.856 0.000
Hg 0.000 0.000 0.000
Hg 3.859 3.859 0.000
Ir 1.296 5.155 1.441
Ir 2.564 1.296 1.441
Ir 5.155 6.423 1.441
Ir 6.423 2.564 1.441
```

Summary:
DOS at the Fermi energy in states/eV/atom: 0.4946
ΔH_f (0 K) in meV/atom: 54.1
ΔE to the lowest computed polymorph in eV per atom: 0.153
Calculated total energy in eV per atom: -4.188

=====

# 18
VASP calculation (PBE) on a relaxed MgHgIr2 crystal.

The structure in extended XYZ format:
```
4
Lattice="4.661 -1.448 0.000 4.661 1.448 0.000 -0.894 0.000 4.868" Properties=species:S:1:pos:R:3 pbc="T T T"
Mg 0.000 0.000 0.000
Hg 4.214 0.000 2.434
Ir 1.732 0.000 3.757
Ir 6.696 0.000 1.111
```

Summary:
DOS at the Fermi energy in states/eV/atom: 0.5143
ΔH_f (0 K) in meV/atom: 61.4
Calculated total energy in eV per atom: -4.843

=====

# 19
VASP calculation (PBE) on a relaxed MgHgIr2 crystal.

The structure in extended XYZ format:
```
4
Lattice="1.486 -2.412 0.000 1.486 2.412 0.000 0.000 0.000 9.276" Properties=species:S:1:pos:R:3 pbc="T T T"
Mg 0.000 0.000 0.000
Hg 0.000 0.000 4.638
Ir 1.486 0.000 2.174
Ir 1.486 0.000 7.101
```

Summary:
DOS at the Fermi energy in states/eV/atom: 1.1939
ΔH_f (0 K) in meV/atom: 206.3
Calculated total energy in eV per atom: -4.698

=====

# 20
VASP calculation (PBE) on a relaxed Mg4HgIr crystal.

The structure in extended XYZ format:
```
6
Lattice="0.000 3.847 3.847 3.847 0.000 3.847 3.847 3.847 0.000" Properties=species:S:1:pos:R:3 pbc="T T T"
Mg 2.890 2.890 2.890
Mg 4.804 4.804 2.890
Mg 4.804 2.890 4.804
Mg 2.890 4.804 4.804
Hg 0.000 0.000 0.000
Ir 5.770 5.770 5.770
```

Summary:
DOS at the Fermi energy in states/eV/atom: 0.4518
ΔH_f (0 K) in meV/atom: 214.8
ΔE to the lowest computed polymorph in eV per atom: 0.384
Calculated total energy in eV per atom: -2.375

=====

# 21
VASP calculation (PBE) on a relaxed MgHgIr2 crystal.

The structure in extended XYZ format:
```
4
Lattice="2.862 0.000 0.000 0.000 2.862 0.000 0.000 0.000 8.302" Properties=species:S:1:pos:R:3 pbc="T T T"
Mg 0.000 0.000 0.000
Hg 1.431 1.431 2.374
Ir 0.000 0.000 4.629
Ir 1.431 1.431 6.378
```

Summary:
DOS at the Fermi energy in states/eV/atom: 0.9109
ΔH_f (0 K) in meV/atom: 48.2
Calculated total energy in eV per atom: -4.856

=====

# 22
VASP calculation (PBE) on a relaxed MgHgIr2 crystal.

The structure in extended XYZ format:
```
4
Lattice="2.979 0.000 0.000 0.000 4.632 0.000 0.000 0.000 4.780" Properties=species:S:1:pos:R:3 pbc="T T T"
Mg 0.000 0.000 0.000
Hg 1.489 0.000 2.390
Ir 0.000 2.316 2.390
Ir 1.489 2.316 0.000
```

Summary:
DOS at the Fermi energy in states/eV/atom: 0.7577
ΔH_f (0 K) in meV/atom: 139.6
Calculated total energy in eV per atom: -4.765

=====

# 23
VASP calculation (PBE) on a relaxed MgHgIr2 crystal.

The structure in extended XYZ format:
```
4
Lattice="4.017 0.000 0.000 0.000 4.017 0.000 0.000 0.000 4.061" Properties=species:S:1:pos:R:3 pbc="T T T"
Mg 0.000 0.000 0.000
Hg 2.008 2.008 0.000
Ir 0.000 2.008 2.031
Ir 2.008 0.000 2.031
```

Summary:
DOS at the Fermi energy in states/eV/atom: 1.2757
ΔH_f (0 K) in meV/atom: 118.3
Calculated total energy in eV per atom: -4.786

=====

# 24
VASP calculation (PBE) on a relaxed MgHg2Ir crystal.

The structure in extended XYZ format:
```
4
Lattice="3.120 0.000 0.000 0.000 3.120 0.000 0.000 0.000 8.054" Properties=species:S:1:pos:R:3 pbc="T T T"
Mg 0.000 0.000 0.000
Hg 0.000 0.000 4.676
Hg 1.560 1.560 2.214
Ir 1.560 1.560 6.536
```

Summary:
DOS at the Fermi energy in states/eV/atom: 0.4014
ΔH_f (0 K) in meV/atom: 37.2
ΔE to the lowest computed polymorph in eV per atom: 0.000
Calculated total energy in eV per atom: -2.728

=====

# 25
VASP calculation (PBE) on a relaxed MgHgIr2 crystal.

The structure in extended XYZ format:
```
8
Lattice="-1.989 1.989 9.446 1.989 -1.989 9.446 1.989 1.989 -9.446" Properties=species:S:1:pos:R:3 pbc="T T T"
Mg 0.000 0.000 0.000
Mg 0.000 1.989 4.723
Hg 1.989 0.000 4.723
Hg 0.000 0.000 9.446
Ir 2.983 0.757 -2.362
Ir 0.757 0.994 2.362
Ir -0.994 1.232 7.085
Ir 1.232 0.994 11.808
```

Summary:
DOS at the Fermi energy in states/eV/atom: 1.7737
ΔH_f (0 K) in meV/atom: 417.5
Calculated total energy in eV per atom: -4.487